Computed, not measured: crystalline AcNdMgRu at its relaxed geometry at the PBE-GGA level of DFT.

Calculated volume   107.0 Å³ per cell
Total energy   -4.909 eV per atom
Symmetry   No. 216

Lattice parameters (Å, degrees): 5.329 5.329 5.329 60.00 60.00 60.00
Positions (direct):
Ru1 0.750 0.750 0.750
Mg1 0.250 0.250 0.250
Ac1 0.500 0.500 0.500
Nd1 0.000 0.000 0.000